Record 1
Compound: Sc2Ta2Mn
Source: the Alexandria database
Functional: GGA-PBE
Structure: relaxed

```
Sc2Ta2Mn
1.0
-1.197 -5.502 -2.782
6.164 -1.013 -0.650
0.095 -2.244 4.397
Ta Sc Mn
4 4 2
Cartesian
1.954 -1.194 -0.652 Ta
4.805 -2.766 -1.515 Ta
0.162 -3.749 -1.917 Ta
3.013 -5.321 -2.780 Ta
3.959 -2.716 1.300 Sc
1.103 -6.043 -0.335 Sc
4.384 -5.635 -0.198 Sc
0.678 -3.123 1.164 Sc
2.483 -3.257 -1.716 Mn
0.000 0.000 0.000 Mn
```

Output
- space group = No. 127
- crystal system = tetragonal
- electronic total energy (eV per formula unit) = -44.6
- E_form (kJ/mol of atoms) = 18.91
- total magnetization (μB per atom) = 0.0000

***

Record 2
Compound: Sc2TaMn
Source: the Alexandria database
Functional: GGA-PBE
Structure: relaxed

```
Sc2TaMn
1.0
-3.887 -0.645 -3.403
4.464 -0.296 -2.663
0.083 -2.975 0.469
Sc Mn Ta
2 1 1
Cartesian
0.289 -0.470 -3.033 Sc
0.000 0.000 0.000 Sc
2.273 -1.636 -1.097 Mn
-1.902 -1.810 -1.467 Ta
```

Output
- excess energy over the best structure of this formula in the dataset (eV per formula unit) = 1.12
- space group = No. 65
- crystal system = orthorhombic
- electronic total energy (eV per formula unit) = -32.6
- E_form (kJ/mol of atoms) = 27.13
- total magnetization (μB per atom) = 0.6900

***

Record 3
Compound: Sc2TaMn
Source: the Alexandria database
Functional: GGA-PBE
Structure: relaxed

```
Sc2TaMn
1.0
-5.102 6.659 -5.091
-7.356 5.561 -3.356
-5.544 7.767 -2.286
Sc Mn Ta
2 1 1
Cartesian
-8.933 9.918 -5.326 Sc
-0.068 0.076 -0.041 Sc
-13.501 14.990 -8.049 Mn
-4.500 4.997 -2.683 Ta
```

Output
- excess energy over the best structure of this formula in the dataset (eV per formula unit) = 1.06
- space group = No. 166
- crystal system = trigonal
- electronic total energy (eV per formula unit) = -32.6
- E_form (kJ/mol of atoms) = 25.66
- total magnetization (μB per atom) = 0.7764

***

Record 4
Compound: ScTa2Mn
Source: the Alexandria database
Functional: GGA-PBE
Structure: relaxed

```
ScTa2Mn
1.0
-2.197 -0.699 3.945
2.879 -2.485 1.163
1.967 3.045 1.635
Mn Sc Ta
1 1 2
Cartesian
0.341 -1.592 2.554 Mn
-0.115 1.173 2.790 Sc
0.000 0.000 0.000 Ta
2.423 0.280 1.399 Ta
```

Output
- excess energy over the best structure of this formula in the dataset (eV per formula unit) = 0.95
- space group = No. 123
- crystal system = tetragonal
- electronic total energy (eV per formula unit) = -38.1
- E_form (kJ/mol of atoms) = 25.54
- total magnetization (μB per atom) = 0.6387

***

Record 5
Compound: ScTa2Mn
Source: the Alexandria database
Functional: GGA-PBE
Structure: relaxed

```
ScTa2Mn
1.0
-1.551 -1.330 -2.300
2.656 -0.842 -1.304
-0.157 -6.289 3.741
Mn Ta Sc
1 2 1
Cartesian
0.513 -2.658 -0.867 Mn
-0.007 -0.285 0.170 Ta
-0.072 -2.859 1.701 Ta
0.435 -5.803 1.004 Sc
```

Output
- excess energy over the best structure of this formula in the dataset (eV per formula unit) = 0.22
- space group = No. 123
- crystal system = tetragonal
- electronic total energy (eV per formula unit) = -38.9
- E_form (kJ/mol of atoms) = 7.92
- total magnetization (μB per atom) = 0.0000

***

Record 6
Compound: Sc2TaMn
Source: the Alexandria database
Functional: GGA-PBE
Structure: relaxed

```
Sc2TaMn
1.0
5.639 -0.002 -0.003
2.918 4.825 0.003
-3.832 -3.204 2.617
Sc Ta Mn
2 1 1
Cartesian
3.934 2.217 0.000 Sc
0.344 0.194 0.000 Sc
3.043 -0.398 1.307 Ta
1.683 2.016 1.310 Mn
```

Output
- excess energy over the best structure of this formula in the dataset (eV per formula unit) = 0.46
- space group = No. 71
- crystal system = orthorhombic
- electronic total energy (eV per formula unit) = -33.2
- E_form (kJ/mol of atoms) = 11.26
- total magnetization (μB per atom) = 0.0000

***

Record 7
Compound: Sc2TaMn
Source: the Alexandria database
Functional: GGA-PBE
Structure: relaxed

```
Sc2TaMn
1.0
-2.653 1.560 -0.659
-1.062 -0.579 2.905
3.192 6.470 2.457
Sc Mn Ta
2 1 1
Cartesian
-0.943 2.343 1.827 Sc
3.001 6.082 2.310 Sc
0.459 5.185 2.906 Mn
1.749 3.545 1.346 Ta
```

Output
- excess energy over the best structure of this formula in the dataset (eV per formula unit) = 0.00
- space group = No. 99
- crystal system = tetragonal
- electronic total energy (eV per formula unit) = -33.7
- E_form (kJ/mol of atoms) = 0.11
- total magnetization (μB per atom) = 0.0000

***

Record 8
Compound: Sc2TaMn
Source: the Alexandria database
Functional: GGA-PBE
Structure: relaxed

```
Sc2TaMn
1.0
4.633 -0.046 0.000
0.026 4.634 0.000
-2.330 -2.294 3.283
Mn Sc Ta
1 2 1
Cartesian
2.317 -0.023 1.642 Mn
0.013 2.317 1.642 Sc
0.000 0.000 0.000 Sc
2.330 2.294 0.000 Ta
```

Output
- excess energy over the best structure of this formula in the dataset (eV per formula unit) = 0.97
- space group = No. 119
- crystal system = tetragonal
- electronic total energy (eV per formula unit) = -32.7
- E_form (kJ/mol of atoms) = 23.44
- total magnetization (μB per atom) = 0.0003

***

Record 9
Compound: Sc2TaMn
Source: the Alexandria database
Functional: GGA-PBE
Structure: relaxed

```
Sc2TaMn
1.0
-4.658 -0.015 -1.128
1.099 -1.128 -4.526
-0.178 -3.291 0.777
Sc Mn Ta
2 1 1
Cartesian
-1.779 -0.571 -2.827 Sc
0.000 0.000 0.000 Sc
0.461 -2.210 -1.874 Mn
-2.418 -1.653 -0.175 Ta
```

Output
- excess energy over the best structure of this formula in the dataset (eV per formula unit) = 1.30
- space group = No. 123
- crystal system = tetragonal
- electronic total energy (eV per formula unit) = -32.4
- E_form (kJ/mol of atoms) = 31.37
- total magnetization (μB per atom) = 0.3710

***

Record 10
Compound: ScTa3Mn
Source: the Alexandria database
Functional: GGA-PBE
Structure: relaxed

```
ScTa3Mn
1.0
4.660 0.000 0.000
0.000 4.660 0.000
0.000 0.000 4.660
Ta Sc Mn
3 1 1
Cartesian
0.000 0.000 2.330 Ta
2.330 0.000 0.000 Ta
0.000 2.330 0.000 Ta
0.000 0.000 0.000 Sc
2.330 2.330 2.330 Mn
```

Output
- excess energy over the best structure of this formula in the dataset (eV per formula unit) = 8.56
- space group = No. 221
- crystal system = cubic
- electronic total energy (eV per formula unit) = -39.5
- E_form (kJ/mol of atoms) = 223.63
- total magnetization (μB per atom) = 0.0021

***

Record 11
Compound: ScTa2Mn
Source: the Alexandria database
Functional: GGA-PBE
Structure: relaxed

```
ScTa2Mn
1.0
2.891 0.012 0.000
-1.016 2.706 0.000
0.000 0.000 8.817
Ta Mn Sc
2 1 1
Cartesian
0.937 1.359 2.457 Ta
0.000 0.000 0.130 Ta
0.000 0.000 4.317 Mn
0.937 1.359 6.322 Sc
```

Output
- excess energy over the best structure of this formula in the dataset (eV per formula unit) = 0.53
- space group = No. 35
- crystal system = orthorhombic
- electronic total energy (eV per formula unit) = -38.6
- E_form (kJ/mol of atoms) = 15.48
- total magnetization (μB per atom) = 0.0001

***

Record 12
Compound: ScTa2Mn
Source: the Alexandria database
Functional: GGA-PBE
Structure: relaxed

```
ScTa2Mn
1.0
-3.602 1.450 2.537
-1.474 -2.533 3.594
0.674 1.510 4.333
Mn Ta Sc
1 2 1
Cartesian
-2.201 0.213 5.232 Mn
-3.302 0.320 7.847 Ta
0.000 0.000 0.000 Ta
-1.101 0.107 2.616 Sc
```

Output
- excess energy over the best structure of this formula in the dataset (eV per formula unit) = 0.82
- space group = No. 216
- crystal system = cubic
- electronic total energy (eV per formula unit) = -38.3
- E_form (kJ/mol of atoms) = 22.37
- total magnetization (μB per atom) = 0.6754

***

Record 13
Compound: ScTaMn2
Source: the Alexandria database
Functional: GGA-PBE
Structure: relaxed

```
ScTaMn2
1.0
4.919 -0.012 -0.003
1.655 4.633 0.003
-2.687 -3.165 2.639
Mn Ta Sc
2 1 1
Cartesian
3.234 2.272 0.000 Mn
0.054 0.038 0.000 Mn
1.128 1.889 1.321 Ta
2.760 -0.434 1.318 Sc
```

Output
- space group = No. 71
- crystal system = orthorhombic
- electronic total energy (eV per formula unit) = -35.5
- E_form (kJ/mol of atoms) = 24.11
- total magnetization (μB per atom) = 0.0283

***

Record 14
Compound: Sc2TaMn
Source: the Alexandria database
Functional: GGA-PBE
Structure: relaxed

```
Sc2TaMn
1.0
-1.386 -2.983 4.501
1.345 -4.273 3.317
2.313 1.164 4.069
Mn Sc Ta
1 2 1
Cartesian
0.606 -1.389 2.913 Mn
0.043 -6.955 7.683 Sc
1.695 -4.601 8.929 Sc
1.023 -3.449 6.122 Ta
```

Output
- excess energy over the best structure of this formula in the dataset (eV per formula unit) = 0.14
- space group = No. 44
- crystal system = orthorhombic
- electronic total energy (eV per formula unit) = -33.5
- E_form (kJ/mol of atoms) = 3.39
- total magnetization (μB per atom) = 0.0001

***

Record 15
Compound: Sc4TaMn
Source: the Alexandria database
Functional: GGA-PBE
Structure: relaxed

```
Sc4TaMn
1.0
0.000 4.017 4.017
4.017 0.000 4.017
4.017 4.017 0.000
Sc Mn Ta
4 1 1
Cartesian
5.009 3.026 5.009 Sc
3.026 3.026 3.026 Sc
3.026 5.009 5.009 Sc
5.009 5.009 3.026 Sc
0.000 0.000 0.000 Mn
6.026 6.026 6.026 Ta
```

Output
- space group = No. 216
- crystal system = cubic
- electronic total energy (eV per formula unit) = -42.5
- E_form (kJ/mol of atoms) = 62.04
- total magnetization (μB per atom) = 0.4375

***

Record 16
Compound: ScTaMn
Source: the Alexandria database
Functional: GGA-PBE
Structure: relaxed

```
ScTaMn
1.0
4.277 0.000 0.000
2.138 3.704 0.000
2.138 1.235 3.492
Ta Mn Sc
1 1 1
Cartesian
4.277 2.469 1.746 Ta
6.415 3.704 2.619 Mn
0.000 0.000 0.000 Sc
```

Output
- excess energy over the best structure of this formula in the dataset (eV per formula unit) = 1.15
- space group = No. 216
- crystal system = cubic
- electronic total energy (eV per formula unit) = -26.2
- E_form (kJ/mol of atoms) = 38.49
- total magnetization (μB per atom) = 0.0000

***

Record 17
Compound: ScTa2Mn
Source: the Alexandria database
Functional: GGA-PBE
Structure: relaxed

```
ScTa2Mn
1.0
3.104 0.000 0.000
0.000 3.104 0.000
0.000 0.000 7.196
Ta Sc Mn
2 1 1
Cartesian
1.552 1.552 2.078 Ta
0.000 0.000 0.143 Ta
1.552 1.552 5.163 Sc
0.000 0.000 3.410 Mn
```

Output
- excess energy over the best structure of this formula in the dataset (eV per formula unit) = 0.08
- space group = No. 99
- crystal system = tetragonal
- electronic total energy (eV per formula unit) = -39.0
- E_form (kJ/mol of atoms) = 4.47
- total magnetization (μB per atom) = 0.0000

***

Record 18
Compound: ScTa2Mn
Source: the Alexandria database
Functional: GGA-PBE
Structure: relaxed

```
ScTa2Mn
1.0
8.952 -0.006 -0.003
8.434 3.001 -0.003
8.434 1.453 2.625
Sc Mn Ta
1 1 2
Cartesian
19.604 3.377 1.988 Sc
13.057 2.249 1.324 Mn
6.185 1.065 0.627 Ta
25.705 4.428 2.607 Ta
```

Output
- excess energy over the best structure of this formula in the dataset (eV per formula unit) = 0.97
- space group = No. 160
- crystal system = trigonal
- electronic total energy (eV per formula unit) = -38.1
- E_form (kJ/mol of atoms) = 25.97
- total magnetization (μB per atom) = 0.1163

***

Record 19
Compound: Sc2TaMn
Source: the Alexandria database
Functional: GGA-PBE
Structure: relaxed

```
Sc2TaMn
1.0
-1.596 2.319 1.097
-2.481 -1.724 0.015
1.758 -2.461 7.761
Sc Mn Ta
2 1 1
Cartesian
1.723 -2.413 7.609 Sc
0.913 -1.279 4.032 Sc
-0.720 -1.548 6.377 Mn
-1.599 -0.318 2.496 Ta
```

Output
- excess energy over the best structure of this formula in the dataset (eV per formula unit) = 0.71
- space group = No. 65
- crystal system = orthorhombic
- electronic total energy (eV per formula unit) = -33.0
- E_form (kJ/mol of atoms) = 17.29
- total magnetization (μB per atom) = 0.6864

***

Record 20
Compound: ScTa2Mn
Source: the Alexandria database
Functional: GGA-PBE
Structure: relaxed

```
ScTa2Mn
1.0
-4.022 3.680 0.182
-5.302 0.984 -0.816
-2.721 -0.135 3.855
Mn Ta Sc
1 2 1
Cartesian
-9.034 3.397 2.416 Mn
-5.810 2.111 1.755 Ta
-2.933 0.019 3.711 Ta
-3.011 1.132 0.805 Sc
```

Output
- excess energy over the best structure of this formula in the dataset (eV per formula unit) = 0.00
- space group = No. 71
- crystal system = orthorhombic
- electronic total energy (eV per formula unit) = -39.1
- E_form (kJ/mol of atoms) = 2.59
- total magnetization (μB per atom) = 0.0000